No. 1
CsZnGe | GGA-PBE | relaxed

Space group ... C2
Size of the total moment ... 0.0 μB per cell
Energy above the most stable polymorph in this dataset ... 0.175 eV/atom
Density of states at the Fermi level ... 0.9 states/eV/cell
Formation energy from the elements ... 0.32 eV/f.u.

Unit cell a=4.539 b=12.224 c=3.736 alpha=90.00 beta=90.39 gamma=90.00
Fractional coordinates of all 6 atoms:
Cs 0.000 0.000 0.000
Cs 0.500 0.500 0.000
Zn 0.000 0.722 0.500
Zn 0.500 0.222 0.500
Ge 0.000 0.290 0.500
Ge 0.500 0.790 0.500

No. 2
CsZn3Ge | GGA-PBE | relaxed

Space group ... Pm-3m
Size of the total moment ... 3.0 μB per cell
Energy above the most stable polymorph in this dataset ... 0.890 eV/atom
Density of states at the Fermi level ... 0.3 states/eV/cell
Formation energy from the elements ... 5.91 eV/f.u.

Unit cell a=6.841 b=6.841 c=6.841 alpha=90.00 beta=90.00 gamma=90.00
Fractional coordinates of all 5 atoms:
Cs 0.000 0.000 0.000
Zn 0.000 0.000 0.500
Zn 0.000 0.500 0.000
Zn 0.500 0.000 0.000
Ge 0.500 0.500 0.500